Material: BaMgAs
Method: DFT, PBE
State: optimized geometry

a = 4.384 Å, b = 4.384 Å, c = 10.408 Å
α = 90.00°, β = 90.00°, γ = 90.00°
Space group P4/nmm (No. 129, origin choice 2)
Symmetry-distinct sites (fractional):
Ba: 0.250 0.250 0.189
Mg: 0.250 0.750 0.500
As: 0.250 0.250 0.654

E above lowest polymorph: 0.000 eV/atom
formation energy from the elements: -0.770 eV/atom
electronic total energy: -3.492 eV per atom